No. 1
Here is an optimized crystal structure of Tl3SI2 from the Alexandria database. Energies are from PBE.

The structure belongs to space group C2/c (No. 15); the cell edges are 15.514, 6.614 and 8.874 Å and the angles 90.00°, 106.66° and 90.00°. Symmetry generates all atoms from Tl at (0.000, 0.001, 0.250), Tl at (0.128, 0.500, 0.064), S at (0.000, 0.500, 0.250) and I at (0.180, 0.000, 0.090).

The calculation puts the density of states at the Fermi level at 10.556 states/eV/cell. The value obtained for the volume is 36.3 Å³/atom. The electronic total energy comes out at -2.804 eV/atom.

No. 2
Here is an optimized crystal structure of MoP2Ru from the Alexandria database. Energies are from PBE.

The structure belongs to space group Pmmm (No. 47); the cell edges are 3.019, 3.581 and 5.252 Å and the angles 90.00°, 90.00° and 90.00°. Symmetry generates all atoms from Mo at (0.000, 0.000, 0.000), P at (0.500, 0.500, 0.220) and Ru at (0.500, 0.000, 0.500).

The calculation puts the density of states at the Fermi level at 2.576 states/eV/cell. The formation energy comes out at -0.14 eV/atom. The value obtained for the volume is 14.2 Å³/atom.

No. 3
Here is an optimized crystal structure of LaBeCd2N from the Alexandria database. Energies are from PBE.

The structure belongs to space group P4/mmm (No. 123); the cell edges are 4.360, 4.360 and 5.823 Å and the angles 90.00°, 90.00° and 90.00°. Symmetry generates all atoms from La at (0.000, 0.000, 0.000), Be at (0.000, 0.000, 0.500), Cd at (0.000, 0.500, 0.500) and N at (0.500, 0.500, 0.000).

The calculation puts the density of states at the Fermi level at 2.419 states/eV/cell. The value obtained for the volume is 22.1 Å³/atom. The electronic total energy comes out at -3.194 eV/atom.

No. 4
Here is an optimized crystal structure of Ta2HgTe from the Alexandria database. Energies are from PBE.

The structure belongs to space group Imm2 (No. 44); the cell edges are 3.366, 4.858 and 10.093 Å and the angles 90.00°, 90.00° and 90.00°. Symmetry generates all atoms from Ta at (0.000, 0.000, 0.000), Ta at (0.000, 0.500, 0.276), Hg at (0.000, 0.500, 0.777) and Te at (0.000, 0.000, 0.550).

The calculation puts the density of states at the Fermi level at 5.754 states/eV/cell. Its energy above the most stable polymorph in this dataset is 0.225 eV/atom. The value obtained for the volume is 20.6 Å³/atom.

No. 5
Here is an optimized crystal structure of PrTmPI from the Alexandria database. Energies are from PBE.

The structure belongs to space group R3m (No. 160, hexagonal axes); the cell edges are 4.1101, 4.1101 and 22.6678 Å and the angles 90.00°, 90.00° and 120.00°. Symmetry generates all atoms from Pr at (0.0000, 0.0000, 0.0000), Tm at (0.0000, 0.0000, 0.2052), P at (0.0000, 0.0000, 0.5941) and I at (0.0000, 0.0000, 0.7745).

The calculation puts the density of states at the Fermi level at 1.344 states/eV/cell. The value obtained for the volume is 27.6 Å³/atom. The electronic total energy comes out at -5.364 eV/atom.

No. 6
Here is an optimized crystal structure of RbNaSr2Ag from the Alexandria database. Energies are from PBE.

The structure belongs to space group P4/mmm (No. 123); the cell edges are 6.271, 6.271 and 6.767 Å and the angles 90.00°, 90.00° and 90.00°. Symmetry generates all atoms from Rb at (0.000, 0.000, 0.000), Na at (0.500, 0.500, 0.000), Sr at (0.000, 0.500, 0.500) and Ag at (0.000, 0.000, 0.500).

The calculation puts the density of states at the Fermi level at 3.769 states/eV/cell. Its energy above the most stable polymorph in this dataset is 0.034 eV/atom. The formation energy comes out at 0.04 eV/atom. The value obtained for the volume is 53.2 Å³/atom.

No. 7
Here is an optimized crystal structure of LaNdSn from the Alexandria database. Energies are from PBE.

The structure belongs to space group P6_3/mmc (No. 194); the cell edges are 5.6081, 5.6081 and 6.8451 Å and the angles 90.00°, 90.00° and 120.00°. Symmetry generates all atoms from La at (0.0000, 0.0000, 0.0000), Nd at (0.3333, 0.6667, 0.2500) and Sn at (0.3333, 0.6667, 0.7500).

The calculation puts the density of states at the Fermi level at 6.520 states/eV/cell. Its energy above the most stable polymorph in this dataset is 0.000 eV/atom. The formation energy comes out at -0.62 eV/atom. The value obtained for the volume is 31.1 Å³/atom.

No. 8
Here is an optimized crystal structure of AcHoTe2 from the Alexandria database. Energies are from PBE.

The structure belongs to space group P4/mmm (No. 123); the cell edges are 3.910, 3.910 and 7.880 Å and the angles 90.00°, 90.00° and 90.00°. Symmetry generates all atoms from Ac at (0.000, 0.000, 0.000), Ho at (0.000, 0.000, 0.500) and Te at (0.500, 0.500, 0.270).

The calculation puts the density of states at the Fermi level at 3.175 states/eV/cell. Its energy above the most stable polymorph in this dataset is 0.145 eV/atom. The value obtained for the volume is 30.1 Å³/atom.

No. 9
Here is an optimized crystal structure of NiMoW2 from the Alexandria database. Energies are from PBE.

The structure belongs to space group P2/m (No. 10); the cell edges are 2.664, 4.428 and 5.137 Å and the angles 90.00°, 98.02° and 90.00°. Symmetry generates all atoms from Ni at (0.000, 0.000, 0.000), Mo at (0.500, 0.000, 0.500) and W at (0.252, 0.500, 0.754).

The calculation puts the density of states at the Fermi level at 3.961 states/eV/cell. Its energy above the most stable polymorph in this dataset is 0.094 eV/atom. The formation energy comes out at 0.15 eV/atom. The value obtained for the volume is 15.0 Å³/atom.

No. 10
Here is an optimized crystal structure of Pm2TcI from the Alexandria database. Energies are from PBE.

The structure belongs to space group R-3m (No. 166, hexagonal axes); the cell edges are 3.8436, 3.8436 and 26.8280 Å and the angles 90.00°, 90.00° and 120.00°. Symmetry generates all atoms from Pm at (0.0000, 0.0000, 0.2367), Tc at (0.0000, 0.0000, 0.5000) and I at (0.0000, 0.0000, 0.0000).

The calculation puts the density of states at the Fermi level at 7.620 states/eV/cell. Its energy above the most stable polymorph in this dataset is 0.124 eV/atom. The value obtained for the volume is 28.6 Å³/atom.

No. 11
Here is an optimized crystal structure of SrTc3Sb from the Alexandria database. Energies are from PBE.

The structure belongs to space group Pm-3m (No. 221); the cell edges are 4.922, 4.922 and 4.922 Å and the angles 90.00°, 90.00° and 90.00°. Symmetry generates all atoms from Sr at (0.000, 0.000, 0.000), Tc at (0.000, 0.000, 0.500) and Sb at (0.500, 0.500, 0.500).

The calculation puts the density of states at the Fermi level at 5.222 states/eV/cell. Its energy above the most stable polymorph in this dataset is 1.388 eV/atom. The value obtained for the volume is 23.8 Å³/atom.

No. 12
Here is an optimized crystal structure of NdSmTm3 from the Alexandria database. Energies are from PBE.

The structure belongs to space group P2_1/m (No. 11); the cell edges are 6.276, 5.655 and 9.584 Å and the angles 90.00°, 109.08° and 90.00°. Symmetry generates all atoms from Nd at (0.233, 0.250, 0.301), Sm at (0.365, 0.750, 0.899), Tm at (0.034, 0.250, 0.899), Tm at (0.163, 0.750, 0.500) and Tm at (0.432, 0.250, 0.698).

The calculation puts the density of states at the Fermi level at 15.392 states/eV/cell. Its energy above the most stable polymorph in this dataset is 0.000 eV/atom. The formation energy comes out at 0.01 eV/atom. The value obtained for the volume is 32.1 Å³/atom.

no.,density (g/cm3)
1,6.84
2,7.58
3,5.80
4,13.89
5,7.03
6,2.44
7,7.16
8,8.92
9,14.45
10,7.47
11,7.01
12,8.28